# La3Ta, relaxed, DFT PBE-GGA
# DOS(E_F), states/eV/f.u.: 6.09
# Formation energy, eV/atom: 0.360
# Total energy, eV per atom: -6.30
data_La3Ta
_chemical_formula_sum 'La3 Ta1'
_cell_length_a 3.339
_cell_length_b 3.339
_cell_length_c 10.884
_cell_angle_alpha 90.00
_cell_angle_beta 90.00
_cell_angle_gamma 90.00
_symmetry_space_group_name_H-M 'P 4/m m m'
_symmetry_Int_Tables_number 123
_symmetry_space_group_name_Hall '-P 4 2'
loop_
_atom_site_label
_atom_site_type_symbol
_atom_site_fract_x
_atom_site_fract_y
_atom_site_fract_z
_atom_site_occupancy
La1 La 0.000 0.000 0.000 1
La2 La 0.500 0.500 0.289 1
Ta1 Ta 0.000 0.000 0.500 1